Computed, not measured: an optimized crystal structure of ZrSc2Cr at the PBE-GGA level of DFT.

a = 3.2558 Å, b = 3.2558 Å, c = 7.9320 Å
α = 90.00°, β = 90.00°, γ = 90.00°
Positions (direct):
Zr  0.0000  0.0000  0.0000
Sc  0.0000  0.0000  0.4149
Sc  0.5000  0.5000  0.7274
Cr  0.5000  0.5000  0.2065

Results
Density (Mg/m³): 4.60
Calculated volume (A^3/atom): 21.02
Calculated formation energy (eV/atom): 0.155
Total DFT energy (no corrections) (eV/cell): -30.216
E above lowest polymorph (meV per atom): 0.0

Computed, not measured: an optimized crystal structure of NbGa at the PBE-GGA level of DFT.

a = 7.5418 Å, b = 7.5418 Å, c = 5.0996 Å
α = 90.00°, β = 90.00°, γ = 90.00°
Positions (direct):
Nb  0.0624  0.2689  0.0000
Nb  0.0624  0.7311  0.5000
Nb  0.2689  0.0624  0.5000
Nb  0.2689  0.9376  0.0000
Nb  0.7311  0.0624  0.0000
Nb  0.7311  0.9376  0.5000
Nb  0.9376  0.2689  0.5000
Nb  0.9376  0.7311  0.0000
Ga  0.2616  0.4222  0.5000
Ga  0.2616  0.5778  0.0000
Ga  0.4222  0.2616  0.0000
Ga  0.4222  0.7384  0.5000
Ga  0.5778  0.2616  0.5000
Ga  0.5778  0.7384  0.0000
Ga  0.7384  0.4222  0.0000
Ga  0.7384  0.5778  0.5000

Results
Density (Mg/m³): 7.45
Calculated volume (A^3/atom): 18.13
Calculated formation energy (eV/atom): 0.118
Total DFT energy (no corrections) (eV/cell): -102.887

Computed, not measured: an optimized crystal structure of Cd2In7Hg2Pb at the PBE-GGA level of DFT.

a = 14.8661 Å, b = 14.8661 Å, c = 14.8661 Å
α = 161.71°, β = 27.34°, γ = 159.86°
Positions (direct):
Cd  0.1889  0.0000  0.1889
Cd  0.8111  0.0000  0.8111
In  0.0889  0.0082  0.0806
In  0.2503  0.4998  0.7505
In  0.4401  0.0191  0.4210
In  0.5124  0.5124  0.0000
In  0.5982  0.0191  0.5790
In  0.7494  0.4998  0.2495
In  0.9276  0.0082  0.9194
Hg  0.3567  0.5006  0.8561
Hg  0.6445  0.5006  0.1439
Pb  0.0172  0.5172  0.5000

Results
Density (Mg/m³): 7.66
Calculated volume (A^3/atom): 29.57
Calculated formation energy (eV/atom): 0.080
Total DFT energy (no corrections) (eV/cell): -24.348

Computed, not measured: an optimized crystal structure of SrScCo at the PBE-GGA level of DFT.

a = 4.7553 Å, b = 4.7553 Å, c = 4.7553 Å
α = 60.00°, β = 60.00°, γ = 60.00°
Positions (direct):
Sr  0.0000  0.0000  0.0000
Sc  0.7500  0.7500  0.7500
Co  0.2500  0.2500  0.2500

Results
Density (Mg/m³): 4.18
Calculated volume (A^3/atom): 25.35
Calculated formation energy (eV/atom): 1.313
Total DFT energy (no corrections) (eV/cell): -11.180
E above lowest polymorph (meV per atom): 1181.0

Computed, not measured: an optimized crystal structure of KZr2Ni2S6 at the PBE-GGA level of DFT.

a = 6.7987 Å, b = 7.0183 Å, c = 7.2206 Å
α = 63.31°, β = 88.79°, γ = 61.13°
Positions (direct):
K  0.0000  0.0000  0.0000
Zr  0.3244  0.3556  0.9982
Zr  0.6756  0.6444  0.0018
Ni  0.3321  0.2222  0.4480
Ni  0.6679  0.7778  0.5520
S  0.0676  0.2529  0.2496
S  0.3560  0.1221  0.7794
S  0.4620  0.4554  0.2484
S  0.5380  0.5446  0.7516
S  0.6440  0.8779  0.2206
S  0.9324  0.7471  0.7504

Results
Density (Mg/m³): 3.38
Calculated volume (A^3/atom): 23.73
Total DFT energy (no corrections) (eV/cell): -65.111
Formation energy without anion corrections (kcal/mol of atoms): -22.20

Computed, not measured: an optimized crystal structure of DyCd3Pd2 at the PBE-GGA level of DFT.

a = 3.9226 Å, b = 8.8726 Å, c = 7.2172 Å
α = 90.00°, β = 90.00°, γ = 90.00°
Positions (direct):
Dy  0.0000  0.0932  0.0000
Dy  0.0000  0.9068  0.5000
Cd  0.0000  0.3170  0.5989
Cd  0.0000  0.6830  0.0989
Cd  0.5000  0.1907  0.3298
Cd  0.5000  0.4182  0.9163
Cd  0.5000  0.5818  0.4163
Cd  0.5000  0.8093  0.8298
Pd  0.0000  0.3886  0.2088
Pd  0.0000  0.6114  0.7088
Pd  0.5000  0.1051  0.7101
Pd  0.5000  0.8949  0.2101

Results
Density (Mg/m³): 9.42
Calculated volume (A^3/atom): 20.93
Calculated formation energy (eV/atom): -0.489
Total DFT energy (no corrections) (eV/cell): -41.329

Computed, not measured: an optimized crystal structure of Pm7Nd16Y6 at the PBE-GGA level of DFT.

a = 11.4027 Å, b = 11.4027 Å, c = 11.4027 Å
α = 60.00°, β = 60.00°, γ = 60.00°
Positions (direct):
Pm  0.0000  0.0000  0.0000
Pm  0.0000  0.0000  0.5000
Pm  0.0000  0.5000  0.0000
Pm  0.0000  0.5000  0.5000
Pm  0.5000  0.0000  0.0000
Pm  0.5000  0.0000  0.5000
Pm  0.5000  0.5000  0.0000
Nd  0.0449  0.6517  0.6517
Nd  0.1249  0.1249  0.1249
Nd  0.1249  0.1249  0.6254
Nd  0.1249  0.6254  0.1249
Nd  0.3483  0.3483  0.3483
Nd  0.3483  0.3483  0.9551
Nd  0.3483  0.9551  0.3483
Nd  0.3746  0.8751  0.8751
Nd  0.6254  0.1249  0.1249
Nd  0.6517  0.0449  0.6517
Nd  0.6517  0.6517  0.0449
Nd  0.6517  0.6517  0.6517
Nd  0.8751  0.3746  0.8751
Nd  0.8751  0.8751  0.3746
Nd  0.8751  0.8751  0.8751
Nd  0.9551  0.3483  0.3483
Y  0.2688  0.2688  0.7312
Y  0.2688  0.7312  0.2688
Y  0.2688  0.7312  0.7312
Y  0.7312  0.2688  0.2688
Y  0.7312  0.2688  0.7312
Y  0.7312  0.7312  0.2688

Results
Density (Mg/m³): 6.11
Calculated volume (A^3/atom): 36.15
Calculated formation energy (eV/atom): 0.209
Total DFT energy (no corrections) (eV/cell): -142.249

Computed, not measured: an optimized crystal structure of NbSbIr at the PBE-GGA level of DFT.

a = 4.3506 Å, b = 4.3506 Å, c = 8.0870 Å
α = 90.00°, β = 90.00°, γ = 120.00°
Positions (direct):
Nb  0.3333  0.6667  0.4221
Nb  0.6667  0.3333  0.5779
Sb  0.3333  0.6667  0.8280
Sb  0.6667  0.3333  0.1720
Ir  0.0000  0.0000  0.3355
Ir  0.0000  0.0000  0.6645

Results
Density (Mg/m³): 10.19
Calculated volume (A^3/atom): 22.09
Total DFT energy (no corrections) (eV/cell): -47.386
Formation energy without anion corrections (kcal/mol of atoms): -4.92

> Which formula does entry 8 have?

NbSbIr

Copy entry 5 word for word.
Computed, not measured: an optimized crystal structure of KZr2Ni2S6 at the PBE-GGA level of DFT.

a = 6.7987 Å, b = 7.0183 Å, c = 7.2206 Å
α = 63.31°, β = 88.79°, γ = 61.13°
Positions (direct):
K  0.0000  0.0000  0.0000
Zr  0.3244  0.3556  0.9982
Zr  0.6756  0.6444  0.0018
Ni  0.3321  0.2222  0.4480
Ni  0.6679  0.7778  0.5520
S  0.0676  0.2529  0.2496
S  0.3560  0.1221  0.7794
S  0.4620  0.4554  0.2484
S  0.5380  0.5446  0.7516
S  0.6440  0.8779  0.2206
S  0.9324  0.7471  0.7504

Results
Density (Mg/m³): 3.38
Calculated volume (A^3/atom): 23.73
Total DFT energy (no corrections) (eV/cell): -65.111
Formation energy without anion corrections (kcal/mol of atoms): -22.20

> The lowest calculated volume belongs to which entry?

NbGa

> The highest calculated volume belongs to which entry?

Pm7Nd16Y6